# PBE Tm2InCu, relaxed
# Volume   110.2 Å³/f.u.
# Fermi-level density of states   5.25 states/eV/cell
# ΔH_f (0 K)   0.1310 eV/atom
data_Tm2InCu
_chemical_formula_sum 'Tm2 In1 Cu1'
_cell_length_a 10.414
_cell_length_b 10.414
_cell_length_c 10.414
_cell_angle_alpha 19.51
_cell_angle_beta 19.51
_cell_angle_gamma 19.51
_space_group_name_H-M_alt 'P 1'
_space_group_IT_number 1
loop_
_space_group_symop_operation_xyz
'x,y,z'
loop_
_atom_site_label
_atom_site_type_symbol
_atom_site_fract_x
_atom_site_fract_y
_atom_site_fract_z
Tm1 Tm 0.104 0.104 0.104
Tm2 Tm 0.896 0.896 0.896
In1 In 0.000 0.000 0.000
Cu1 Cu 0.500 0.500 0.500

# PBE AcTb12Tl6, relaxed
# Volume   649.3 Å³/f.u.
# Fermi-level density of states   29.06 states/eV/cell
# ΔH_f (0 K)   -0.0522 eV/atom
data_AcTb12Tl6
_chemical_formula_sum 'Ac1 Tb12 Tl6'
_cell_length_a 8.957
_cell_length_b 8.957
_cell_length_c 8.957
_cell_angle_alpha 103.31
_cell_angle_beta 103.31
_cell_angle_gamma 103.31
_space_group_name_H-M_alt 'P 1'
_space_group_IT_number 1
loop_
_space_group_symop_operation_xyz
'x,y,z'
loop_
_atom_site_label
_atom_site_type_symbol
_atom_site_fract_x
_atom_site_fract_y
_atom_site_fract_z
Ac1 Ac 0.000 0.000 0.000
Tb1 Tb 0.128 0.500 0.872
Tb2 Tb 0.128 0.872 0.500
Tb3 Tb 0.182 0.451 0.451
Tb4 Tb 0.451 0.182 0.451
Tb5 Tb 0.451 0.451 0.182
Tb6 Tb 0.500 0.128 0.872
Tb7 Tb 0.500 0.872 0.128
Tb8 Tb 0.549 0.549 0.818
Tb9 Tb 0.549 0.818 0.549
Tb10 Tb 0.818 0.549 0.549
Tb11 Tb 0.872 0.128 0.500
Tb12 Tb 0.872 0.500 0.128
Tl1 Tl 0.237 0.237 0.691
Tl2 Tl 0.237 0.691 0.237
Tl3 Tl 0.309 0.763 0.763
Tl4 Tl 0.691 0.237 0.237
Tl5 Tl 0.763 0.309 0.763
Tl6 Tl 0.763 0.763 0.309

# PBE CoTc2Au, relaxed
# Volume   59.1 Å³/f.u.
# Fermi-level density of states   4.05 states/eV/cell
# Energy above the lowest structure with this stoichiometry   143 meV/atom
# ΔH_f (0 K)   0.3487 eV/atom
data_CoTc2Au
_chemical_formula_sum 'Co1 Tc2 Au1'
_cell_length_a 3.132
_cell_length_b 3.132
_cell_length_c 6.029
_cell_angle_alpha 90.00
_cell_angle_beta 90.00
_cell_angle_gamma 90.00
_space_group_name_H-M_alt 'P 1'
_space_group_IT_number 1
loop_
_space_group_symop_operation_xyz
'x,y,z'
loop_
_atom_site_label
_atom_site_type_symbol
_atom_site_fract_x
_atom_site_fract_y
_atom_site_fract_z
Co1 Co 0.000 0.000 0.000
Tc1 Tc 0.500 0.500 0.199
Tc2 Tc 0.500 0.500 0.801
Au1 Au 0.000 0.000 0.500

# PBE NdHo2ThP4, relaxed
# Volume   190.9 Å³/f.u.
# Fermi-level density of states   1.50 states/eV/cell
# ΔH_f (0 K)   -1.5948 eV/atom
data_NdHo2ThP4
_chemical_formula_sum 'Nd1 Ho2 Th1 P4'
_cell_length_a 7.031
_cell_length_b 4.079
_cell_length_c 7.060
_cell_angle_alpha 90.00
_cell_angle_beta 109.49
_cell_angle_gamma 90.00
_space_group_name_H-M_alt 'P 1'
_space_group_IT_number 1
loop_
_space_group_symop_operation_xyz
'x,y,z'
loop_
_atom_site_label
_atom_site_type_symbol
_atom_site_fract_x
_atom_site_fract_y
_atom_site_fract_z
Nd1 Nd 0.000 0.000 0.000
Ho1 Ho 0.500 0.000 0.500
Ho2 Ho 0.500 0.500 0.000
Th1 Th 0.000 0.500 0.500
P1 P 0.259 0.000 0.751
P2 P 0.259 0.500 0.255
P3 P 0.741 0.000 0.249
P4 P 0.741 0.500 0.745

# PBE Sm8MgZn2, relaxed
# Volume   326.6 Å³/f.u.
# Fermi-level density of states   10.43 states/eV/cell
# ΔH_f (0 K)   -0.0769 eV/atom
data_Sm8MgZn2
_chemical_formula_sum 'Sm8 Mg1 Zn2'
_cell_length_a 9.394
_cell_length_b 9.394
_cell_length_c 7.423
_cell_angle_alpha 108.35
_cell_angle_beta 108.35
_cell_angle_gamma 31.86
_space_group_name_H-M_alt 'P 1'
_space_group_IT_number 1
loop_
_space_group_symop_operation_xyz
'x,y,z'
loop_
_atom_site_label
_atom_site_type_symbol
_atom_site_fract_x
_atom_site_fract_y
_atom_site_fract_z
Sm1 Sm 0.033 0.033 0.258
Sm2 Sm 0.190 0.190 0.799
Sm3 Sm 0.325 0.325 0.529
Sm4 Sm 0.408 0.408 0.027
Sm5 Sm 0.592 0.592 0.973
Sm6 Sm 0.675 0.675 0.471
Sm7 Sm 0.810 0.810 0.201
Sm8 Sm 0.967 0.967 0.742
Mg1 Mg 0.500 0.500 0.500
Zn1 Zn 0.187 0.187 0.193
Zn2 Zn 0.813 0.813 0.807

# PBE Pr2Cd3Ag2, relaxed
# Volume   177.6 Å³/f.u.
# Fermi-level density of states   4.87 states/eV/cell
# Energy above the lowest structure with this stoichiometry   56 meV/atom
# ΔH_f (0 K)   -0.2400 eV/atom
data_Pr2Cd3Ag2
_chemical_formula_sum 'Pr2 Cd3 Ag2'
_cell_length_a 5.802
_cell_length_b 5.802
_cell_length_c 7.557
_cell_angle_alpha 94.18
_cell_angle_beta 94.18
_cell_angle_gamma 44.43
_space_group_name_H-M_alt 'P 1'
_space_group_IT_number 1
loop_
_space_group_symop_operation_xyz
'x,y,z'
loop_
_atom_site_label
_atom_site_type_symbol
_atom_site_fract_x
_atom_site_fract_y
_atom_site_fract_z
Pr1 Pr 0.123 0.123 0.328
Pr2 Pr 0.877 0.877 0.672
Cd1 Cd 0.185 0.185 0.872
Cd2 Cd 0.500 0.500 0.000
Cd3 Cd 0.815 0.815 0.128
Ag1 Ag 0.411 0.411 0.355
Ag2 Ag 0.589 0.589 0.645

# PBE La2OsBr, relaxed
# Volume   99.7 Å³/f.u.
# Formation energy from raw total energies   -0.39 eV/atom
# Fermi-level density of states   3.96 states/eV/cell
# Energy above the lowest structure with this stoichiometry   411 meV/atom
data_La2OsBr
_chemical_formula_sum 'La2 Os1 Br1'
_cell_length_a 5.205
_cell_length_b 5.205
_cell_length_c 5.205
_cell_angle_alpha 60.00
_cell_angle_beta 60.00
_cell_angle_gamma 60.00
_space_group_name_H-M_alt 'P 1'
_space_group_IT_number 1
loop_
_space_group_symop_operation_xyz
'x,y,z'
loop_
_atom_site_label
_atom_site_type_symbol
_atom_site_fract_x
_atom_site_fract_y
_atom_site_fract_z
La1 La 0.250 0.250 0.250
La2 La 0.750 0.750 0.750
Os1 Os 0.000 0.000 0.000
Br1 Br 0.500 0.500 0.500

# PBE Er6Ge2Se3S, relaxed
# Volume   282.6 Å³/f.u.
# Formation energy from raw total energies   -1.55 eV/atom
# Fermi-level density of states   3.84 states/eV/cell
data_Er6Ge2Se3S
_chemical_formula_sum 'Er6 Ge2 Se3 S1'
_cell_length_a 9.074
_cell_length_b 9.074
_cell_length_c 8.120
_cell_angle_alpha 103.40
_cell_angle_beta 103.40
_cell_angle_gamma 25.79
_space_group_name_H-M_alt 'P 1'
_space_group_IT_number 1
loop_
_space_group_symop_operation_xyz
'x,y,z'
loop_
_atom_site_label
_atom_site_type_symbol
_atom_site_fract_x
_atom_site_fract_y
_atom_site_fract_z
Er1 Er 0.005 0.005 0.242
Er2 Er 0.331 0.331 0.426
Er3 Er 0.336 0.336 0.908
Er4 Er 0.664 0.664 0.092
Er5 Er 0.669 0.669 0.574
Er6 Er 0.995 0.995 0.758
Ge1 Ge 0.166 0.166 0.330
Ge2 Ge 0.834 0.834 0.670
Se1 Se 0.165 0.165 0.834
Se2 Se 0.500 0.500 0.500
Se3 Se 0.835 0.835 0.166
S1 S 0.500 0.500 0.000